[1]
Density functional theory data (PBEsol) for KRhBr2 after structural relaxation.

abc: 3.993 3.993 25.943
angles: 90.00 90.00 120.00
Sites, in units of the cell vectors:
K  0.000  0.000  0.000
K  0.333  0.667  0.667
K  0.667  0.333  0.333
Rh  0.000  0.000  0.500
Rh  0.333  0.667  0.167
Rh  0.667  0.333  0.833
Br  0.000  0.000  0.118
Br  0.000  0.000  0.882
Br  0.333  0.667  0.549
Br  0.333  0.667  0.785
Br  0.667  0.333  0.215
Br  0.667  0.333  0.451

## Properties
**Space group**: No. 166
**Relative energy among the computed polymorphs**: 383.6 meV per atom



[2]
Density functional theory data (PBEsol) for Cd2GeBi after structural relaxation.

abc: 7.211 7.211 7.211
angles: 90.00 90.00 90.00
Sites, in units of the cell vectors:
Cd  0.250  0.250  0.250
Cd  0.250  0.250  0.750
Cd  0.250  0.750  0.250
Cd  0.250  0.750  0.750
Cd  0.750  0.250  0.250
Cd  0.750  0.250  0.750
Cd  0.750  0.750  0.250
Cd  0.750  0.750  0.750
Ge  0.000  0.000  0.000
Ge  0.000  0.500  0.500
Ge  0.500  0.000  0.500
Ge  0.500  0.500  0.000
Bi  0.000  0.000  0.500
Bi  0.000  0.500  0.000
Bi  0.500  0.000  0.000
Bi  0.500  0.500  0.500

## Properties
**Space group**: No. 225
**Energy relative to the elements**: 0.229 eV/atom



[3]
Density functional theory data (PBEsol) for Sr2P after structural relaxation.

abc: 7.404 4.111 13.469
angles: 90.00 90.00 90.00
Sites, in units of the cell vectors:
Sr  0.098  0.250  0.240
Sr  0.222  0.750  0.489
Sr  0.278  0.250  0.989
Sr  0.402  0.750  0.740
Sr  0.598  0.250  0.260
Sr  0.722  0.750  0.011
Sr  0.778  0.250  0.511
Sr  0.902  0.750  0.760
P  0.123  0.250  0.645
P  0.377  0.750  0.145
P  0.623  0.250  0.855
P  0.877  0.750  0.355

## Properties
**Space group**: No. 62
**Energy relative to the elements**: -0.814 eV/atom



[4]
Density functional theory data (PBEsol) for Sr2LaHg2 after structural relaxation.

abc: 8.551 8.551 4.501
angles: 90.00 90.00 90.00
Sites, in units of the cell vectors:
Sr  0.160  0.340  0.000
Sr  0.340  0.840  0.000
Sr  0.660  0.160  0.000
Sr  0.840  0.660  0.000
La  0.000  0.000  0.500
La  0.500  0.500  0.500
Hg  0.137  0.637  0.500
Hg  0.363  0.137  0.500
Hg  0.637  0.863  0.500
Hg  0.863  0.363  0.500

## Properties
**Space group**: No. 127
**Energy relative to the elements**: -0.396 eV/atom



[5]
Density functional theory data (PBEsol) for CsCrS2Cl after structural relaxation.

abc: 5.281 5.281 5.996
angles: 90.00 90.00 90.00
Sites, in units of the cell vectors:
Cs  0.000  0.000  0.000
Cr  0.500  0.500  0.500
S  0.000  0.500  0.000
S  0.500  0.000  0.000
Cl  0.000  0.000  0.500

## Properties
**Space group**: No. 123
**E**: -16.6 eV for the cell shown



[6]
Density functional theory data (PBEsol) for NbSiOs3 after structural relaxation.

abc: 4.317 4.317 4.317
angles: 90.00 90.00 90.00
Sites, in units of the cell vectors:
Nb  0.000  0.000  0.000
Si  0.500  0.500  0.500
Os  0.000  0.500  0.500
Os  0.500  0.000  0.500
Os  0.500  0.500  0.000

## Properties
**Space group**: No. 221
**E**: -48.9 eV for the cell shown



[7]
Density functional theory data (PBEsol) for YFeOs2 after structural relaxation.

abc: 6.310 6.310 6.310
angles: 90.00 90.00 90.00
Sites, in units of the cell vectors:
Y  0.000  0.000  0.000
Y  0.000  0.500  0.500
Y  0.500  0.000  0.500
Y  0.500  0.500  0.000
Fe  0.000  0.000  0.500
Fe  0.000  0.500  0.000
Fe  0.500  0.000  0.000
Fe  0.500  0.500  0.500
Os  0.250  0.250  0.250
Os  0.250  0.250  0.750
Os  0.250  0.750  0.250
Os  0.250  0.750  0.750
Os  0.750  0.250  0.250
Os  0.750  0.250  0.750
Os  0.750  0.750  0.250
Os  0.750  0.750  0.750

## Properties
**Space group**: No. 225
**Energy relative to the elements**: 0.456 eV/atom
**Relative energy among the computed polymorphs**: 81.1 meV per atom



[8]
Density functional theory data (PBEsol) for Ti2InPt2 after structural relaxation.

abc: 4.258 4.258 10.331
angles: 90.00 90.00 90.00
Sites, in units of the cell vectors:
Ti  0.000  0.500  0.250
Ti  0.000  0.500  0.750
Ti  0.500  0.000  0.250
Ti  0.500  0.000  0.750
In  0.000  0.000  0.000
In  0.500  0.500  0.500
Pt  0.000  0.000  0.377
Pt  0.000  0.000  0.623
Pt  0.500  0.500  0.123
Pt  0.500  0.500  0.877

## Properties
**Space group**: No. 139
**Energy relative to the elements**: -0.550 eV/atom